# 1
# KBe4Si

A geometry-optimized KBe4Si structure (GGA-PBE, Alexandria).

formation energy without anion corrections: 0.8478 eV/atom

abc: 4.8751 4.8751 4.8751
angles: 60.00 60.00 60.00
With the nearest neighbours (Å) after each atom.
Sites, in units of the cell vectors:
1 K 0.0000 0.0000 0.0000  12 Be 2.86, 4 Si 2.99
2 Be 0.3777 0.3777 0.3777  6 Be 2.38-2.49
3 Be 0.3777 0.3777 0.8668  6 Be 2.38-2.49
4 Be 0.3777 0.8668 0.3777  6 Be 2.38-2.49
5 Be 0.8668 0.3777 0.3777  6 Be 2.38-2.49
6 Si 0.7500 0.7500 0.7500  12 Be 2.85, 4 K 2.99

---

# 2
# Tb6GaAs2Se3

A geometry-optimized Tb6GaAs2Se3 structure (GGA-PBE, Alexandria).

formation energy without anion corrections: -1.5423 eV/atom

abc: 9.2668 9.2668 8.3544
angles: 103.09 103.09 25.49
With the nearest neighbours (Å) after each atom.
Sites, in units of the cell vectors:
1 Tb 0.0014 0.0014 0.2467  2 Ga 2.90, 1 As 2.91, 3 Se 2.95-2.99
2 Tb 0.3304 0.3304 0.4231  3 As 2.87, 3 Se 2.96-2.98
3 Tb 0.3365 0.3365 0.9123  1 Ga 2.88, 2 As 2.89, 3 Se 2.95-2.97
4 Tb 0.6635 0.6635 0.0877  1 Ga 2.88, 2 As 2.89, 3 Se 2.95-2.97
5 Tb 0.6696 0.6696 0.5769  3 As 2.87, 3 Se 2.96-2.98
6 Tb 0.9986 0.9986 0.7533  2 Ga 2.90, 1 As 2.91, 3 Se 2.95-2.99
7 Ga 0.5000 0.5000 0.0000  6 Tb 2.88-2.90
8 As 0.1671 0.1671 0.3346  6 Tb 2.87-2.91
9 As 0.8329 0.8329 0.6654  6 Tb 2.87-2.91
10 Se 0.1687 0.1687 0.8320  6 Tb 2.95-2.99
11 Se 0.5000 0.5000 0.5000  6 Tb 2.95-2.98
12 Se 0.8313 0.8313 0.1680  6 Tb 2.95-2.99

---

# 3
# ScGeTe2C

A geometry-optimized ScGeTe2C structure (GGA-PBE, Alexandria).

formation energy without anion corrections: 1.5230 eV/atom

abc: 5.4045 5.4045 5.1203
angles: 90.00 90.00 90.00
With the nearest neighbours (Å) after each atom.
Sites, in units of the cell vectors:
1 Sc 0.0000 0.0000 0.0000  2 Ge 2.56
2 Ge 0.0000 0.0000 0.5000  2 Sc 2.56, 4 Te 2.70
3 Te 0.0000 0.5000 0.5000  2 Ge 2.70
4 Te 0.5000 0.0000 0.5000  2 Ge 2.70
5 C 0.5000 0.5000 0.0000  8 Te 3.72, 4 Sc 3.82

---

# 4
# LaFe2Sb

A geometry-optimized LaFe2Sb structure (GGA-PBE, Alexandria).

formation energy without anion corrections: 0.1521 eV/atom

abc: 4.5863 4.5863 3.7561
angles: 90.00 90.00 90.00
With the nearest neighbours (Å) after each atom.
Sites, in units of the cell vectors:
1 La 0.0000 0.0000 0.0000  8 Fe 2.96, 4 Sb 3.24
2 Fe 0.0000 0.5000 0.5000  4 La 2.96, 4 Sb 2.96, 4 Fe 3.24
3 Fe 0.5000 0.0000 0.5000  4 La 2.96, 4 Sb 2.96, 4 Fe 3.24
4 Sb 0.5000 0.5000 0.0000  8 Fe 2.96, 4 La 3.24

---

# 5
# PuBiAuO

A geometry-optimized PuBiAuO structure (GGA-PBE, Alexandria).

formation energy without anion corrections: -1.3212 eV/atom

abc: 4.0059 4.0059 11.0735
angles: 90.00 90.00 90.00
With the nearest neighbours (Å) after each atom.
Sites, in units of the cell vectors:
1 Pu 0.2500 0.2500 0.1034  4 O 2.31
2 Pu 0.7500 0.7500 0.8966  4 O 2.31
3 Bi 0.2500 0.2500 0.7044  4 Au 3.02
4 Bi 0.7500 0.7500 0.2956  4 Au 3.02
5 Au 0.2500 0.7500 0.5000  4 Au 2.83, 4 Bi 3.02
6 Au 0.7500 0.2500 0.5000  4 Au 2.83, 4 Bi 3.02
7 O 0.2500 0.7500 0.0000  4 Pu 2.31
8 O 0.7500 0.2500 0.0000  4 Pu 2.31

---

# 6
# NpP2O6F2

A geometry-optimized NpP2O6F2 structure (GGA-PBE, Alexandria).

formation energy without anion corrections: -2.5971 eV/atom

abc: 5.7635 5.7635 6.1101
angles: 90.00 90.00 120.00
With the nearest neighbours (Å) after each atom.
Sites, in units of the cell vectors:
1 Np 0.0000 0.0000 0.0000  6 O 2.23
2 P 0.3333 0.6667 0.7329  3 O 1.52, 1 F 1.57
3 P 0.6667 0.3333 0.2671  3 O 1.52, 1 F 1.57
4 O 0.1860 0.3719 0.7984  1 P 1.52
5 O 0.1860 0.8140 0.7984  1 P 1.52
6 O 0.3719 0.1860 0.2016  1 P 1.52
7 O 0.6281 0.8140 0.7984  1 P 1.52
8 O 0.8140 0.1860 0.2016  1 P 1.52
9 O 0.8140 0.6281 0.2016  1 P 1.52
10 F 0.3333 0.6667 0.4756  1 P 1.57
11 F 0.6667 0.3333 0.5244  1 P 1.57

---

# 7
# SmTa2MnN4

A geometry-optimized SmTa2MnN4 structure (GGA-PBE, Alexandria).

formation energy without anion corrections: -1.0270 eV/atom

abc: 5.6796 5.6796 10.8680
angles: 90.00 90.00 148.30
With the nearest neighbours (Å) after each atom.
Sites, in units of the cell vectors:
1 Sm 0.1092 0.8908 0.7500  6 N 2.35-2.53
2 Sm 0.8908 0.1092 0.2500  6 N 2.35-2.53
3 Ta 0.3690 0.6310 0.5575  6 N 2.12-2.26
4 Ta 0.3690 0.6310 0.9425  6 N 2.12-2.26
5 Ta 0.6310 0.3690 0.0575  6 N 2.12-2.26
6 Ta 0.6310 0.3690 0.4425  6 N 2.12-2.26
7 Mn 0.1567 0.8433 0.2500  4 N 1.92-1.96
8 Mn 0.8433 0.1567 0.7500  4 N 1.92-1.96
9 N 0.0000 0.0000 0.0000  4 Ta 2.20
10 N 0.0000 0.0000 0.5000  4 Ta 2.20
11 N 0.2709 0.7291 0.1106  1 Mn 1.96, 1 Ta 2.12
12 N 0.2709 0.7291 0.3894  1 Mn 1.96, 1 Ta 2.12
13 N 0.4474 0.5526 0.7500  2 Mn 1.92
14 N 0.5526 0.4474 0.2500  2 Mn 1.92
15 N 0.7291 0.2709 0.6106  1 Mn 1.96, 1 Ta 2.12
16 N 0.7291 0.2709 0.8894  1 Mn 1.96, 1 Ta 2.12

---

# 8
# BeFe6Si

A geometry-optimized BeFe6Si structure (GGA-PBE, Alexandria).

formation energy without anion corrections: -0.1542 eV/atom

abc: 6.1355 6.1355 9.9576
angles: 90.00 90.00 108.59
With the nearest neighbours (Å) after each atom.
Sites, in units of the cell vectors:
1 Be 0.0000 0.0000 0.2477  12 Fe 2.46-2.51
2 Be 0.0000 0.0000 0.7523  12 Fe 2.46-2.51
3 Be 0.2488 0.7512 0.0000  12 Fe 2.45-2.51
4 Be 0.7512 0.2488 0.0000  12 Fe 2.45-2.51
5 Fe 0.0000 0.0000 0.0000  4 Be 2.47-2.48, 8 Fe 2.50
6 Fe 0.0000 0.0000 0.5000  2 Si 2.49, 8 Fe 2.51, 2 Be 2.51
7 Fe 0.1223 0.3745 0.1230  8 Fe 2.45-2.52, 3 Be 2.48-2.51, 1 Si 2.52
8 Fe 0.1223 0.3745 0.8770  8 Fe 2.45-2.52, 3 Be 2.48-2.51, 1 Si 2.52
9 Fe 0.1243 0.3721 0.3729  8 Fe 2.47-2.55, 1 Be 2.50, 3 Si 2.52-2.54
10 Fe 0.1243 0.3721 0.6271  8 Fe 2.47-2.55, 1 Be 2.50, 3 Si 2.52-2.54
11 Fe 0.2470 0.7530 0.2460  2 Be 2.45-2.46, 8 Fe 2.47-2.55, 2 Si 2.52-2.53
12 Fe 0.2470 0.7530 0.7540  2 Be 2.45-2.46, 8 Fe 2.47-2.55, 2 Si 2.52-2.53
13 Fe 0.3721 0.1243 0.3729  8 Fe 2.47-2.55, 1 Be 2.50, 3 Si 2.52-2.54
14 Fe 0.3721 0.1243 0.6271  8 Fe 2.47-2.55, 1 Be 2.50, 3 Si 2.52-2.54
15 Fe 0.3745 0.1223 0.1230  8 Fe 2.45-2.52, 3 Be 2.48-2.51, 1 Si 2.52
16 Fe 0.3745 0.1223 0.8770  8 Fe 2.45-2.52, 3 Be 2.48-2.51, 1 Si 2.52
17 Fe 0.5000 0.5000 0.0000  2 Si 2.46, 2 Be 2.50, 8 Fe 2.52
18 Fe 0.5000 0.5000 0.5000  4 Si 2.50-2.52, 8 Fe 2.53
19 Fe 0.6255 0.8777 0.1230  8 Fe 2.45-2.52, 3 Be 2.48-2.51, 1 Si 2.52
20 Fe 0.6255 0.8777 0.8770  8 Fe 2.45-2.52, 3 Be 2.48-2.51, 1 Si 2.52
21 Fe 0.6279 0.8757 0.3729  8 Fe 2.47-2.55, 1 Be 2.50, 3 Si 2.52-2.54
22 Fe 0.6279 0.8757 0.6271  8 Fe 2.47-2.55, 1 Be 2.50, 3 Si 2.52-2.54
23 Fe 0.7530 0.2470 0.2460  2 Be 2.45-2.46, 8 Fe 2.47-2.55, 2 Si 2.52-2.53
24 Fe 0.7530 0.2470 0.7540  2 Be 2.45-2.46, 8 Fe 2.47-2.55, 2 Si 2.52-2.53
25 Fe 0.8757 0.6279 0.3729  8 Fe 2.47-2.55, 1 Be 2.50, 3 Si 2.52-2.54
26 Fe 0.8757 0.6279 0.6271  8 Fe 2.47-2.55, 1 Be 2.50, 3 Si 2.52-2.54
27 Fe 0.8777 0.6255 0.1230  8 Fe 2.45-2.52, 3 Be 2.48-2.51, 1 Si 2.52
28 Fe 0.8777 0.6255 0.8770  8 Fe 2.45-2.52, 3 Be 2.48-2.51, 1 Si 2.52
29 Si 0.2495 0.7505 0.5000  12 Fe 2.49-2.54
30 Si 0.5000 0.5000 0.2471  12 Fe 2.46-2.52
31 Si 0.5000 0.5000 0.7529  12 Fe 2.46-2.52
32 Si 0.7505 0.2495 0.5000  12 Fe 2.49-2.54

---

- Among the records above, which one has the lowest formation energy without anion corrections?
  NpP2O6F2

---

- Among the records above, which one has the lowest formation energy without anion corrections?
  NpP2O6F2

---

- Number 1 is which compound?
  KBe4Si

---

- What is the formula in the eighth record?
  BeFe6Si